{
  "formula": "CdNiN2",
  "functional": "GGA-PBE",
  "state": "relaxed",
  "lattice_angstrom": [[4.912, 0.000, 0.000], [0.000, 4.912, 0.000], [0.000, 0.000, 8.575]],
  "species": ["Cd", "Cd", "Cd", "Cd", "Ni", "Ni", "Ni", "Ni", "N", "N", "N", "N", "N", "N", "N", "N"],
  "frac_coords": [[0.000, 0.000, 0.000], [0.000, 0.500, 0.250], [0.500, 0.000, 0.750], [0.500, 0.500, 0.500], [0.000, 0.000, 0.500], [0.000, 0.500, 0.750], [0.500, 0.000, 0.250], [0.500, 0.500, 0.000], [0.174, 0.250, 0.625], [0.250, 0.674, 0.875], [0.250, 0.826, 0.375], [0.326, 0.250, 0.125], [0.674, 0.750, 0.125], [0.750, 0.174, 0.375], [0.750, 0.326, 0.875], [0.826, 0.750, 0.625]],
  "final_energy_ev_per_atom": -5.123,
  "raw_formation_energy_kj_per_mol_fu": 275.6,
  "n_ef_per_ev_atom": 0.76,
  "spacegroup": "I-42d, No. 122"
}

---

{
  "formula": "CdNi2N",
  "functional": "GGA-PBE",
  "state": "relaxed",
  "lattice_angstrom": [[4.678, 0.000, 0.000], [0.000, 4.678, 0.000], [0.000, 0.000, 10.913]],
  "species": ["Cd", "Cd", "Cd", "Cd", "Ni", "Ni", "Ni", "Ni", "Ni", "Ni", "Ni", "Ni", "N", "N", "N", "N"],
  "frac_coords": [[0.000, 0.000, 0.000], [0.000, 0.500, 0.250], [0.500, 0.000, 0.750], [0.500, 0.500, 0.500], [0.037, 0.250, 0.625], [0.250, 0.537, 0.875], [0.250, 0.963, 0.375], [0.463, 0.250, 0.125], [0.537, 0.750, 0.125], [0.750, 0.037, 0.375], [0.750, 0.463, 0.875], [0.963, 0.750, 0.625], [0.000, 0.000, 0.500], [0.000, 0.500, 0.750], [0.500, 0.000, 0.250], [0.500, 0.500, 0.000]],
  "final_energy_ev_per_atom": -5.015,
  "raw_formation_energy_kj_per_mol_fu": 71.7,
  "n_ef_per_ev_atom": 0.50,
  "spacegroup": "I-42d, No. 122"
}

---

{
  "formula": "CdNi4N",
  "functional": "GGA-PBE",
  "state": "relaxed",
  "lattice_angstrom": [[3.618, 0.000, 0.000], [0.000, 3.618, 0.000], [0.000, 0.000, 6.071]],
  "species": ["Cd", "Ni", "Ni", "Ni", "Ni", "N"],
  "frac_coords": [[0.000, 0.000, 0.000], [0.000, 0.500, 0.500], [0.500, 0.000, 0.500], [0.500, 0.500, 0.192], [0.500, 0.500, 0.808], [0.500, 0.500, 0.500]],
  "final_energy_ev_per_atom": -5.233,
  "raw_formation_energy_kj_per_mol_fu": 93.4,
  "n_ef_per_ev_atom": 1.10,
  "spacegroup": "P4/mmm, No. 123"
}